Compound: CaPmNpN3
Source: the Alexandria database
Functional: PBE-GGA
Structure: relaxed

abc: 3.627 7.575 8.515
angles: 98.13 90.00 90.00
Fractional positions:
Pm 0.750 0.821 0.874
Np 0.750 0.943 0.403
N 0.250 0.792 0.420
Ca 0.250 0.613 0.158
N 0.750 0.370 0.121
Np 0.250 0.057 0.597
N 0.750 0.208 0.580
Pm 0.250 0.179 0.126
N 0.250 0.089 0.836
Ca 0.750 0.387 0.842
N 0.750 0.911 0.164
N 0.250 0.630 0.879

## Properties
Density of states at the Fermi level in states/eV per atom: 0.331
E_tot in eV per cell: -99.63